Entry 1:
Material: TeOsRuI2
Method: DFT, PBE
State: optimized geometry

abc: 5.5800 5.5800 4.9679
angles: 90.00 90.00 90.00
Element x y z (fractional)
Te  0.0000  0.0000  0.0000
Os  0.0000  0.0000  0.5000
Ru  0.5000  0.5000  0.0000
I  0.0000  0.5000  0.5000
I  0.5000  0.0000  0.5000

Space group: P4/mmm
Uncorrected formation energy in meV/atom: 1445

Entry 2:
Material: TlOsRu2I
Method: DFT, PBE
State: optimized geometry

abc: 5.1030 5.1030 5.0812
angles: 90.00 90.00 90.00
Element x y z (fractional)
Tl  0.0000  0.0000  0.0000
Os  0.0000  0.0000  0.5000
Ru  0.0000  0.5000  0.0000
Ru  0.5000  0.0000  0.0000
I  0.5000  0.5000  0.5000

Space group: P4/mmm
Uncorrected formation energy in meV/atom: 2490